(1)
This record from the Alexandria database describes a geometry-optimized AgAsPt structure. The functional is PBE-GGA.

Unit cell a=4.3177 b=4.3177 c=4.3177 alpha=60.00 beta=60.00 gamma=60.00
Element x y z (fractional)
1 Ag 0.0000 0.0000 0.0000
2 As 0.7500 0.7500 0.7500
3 Pt 0.5000 0.5000 0.5000

Output
**Calculated total energy**: -4.44 eV per atom
**Energy above the lowest structure with this stoichiometry**: 174 meV/atom


(2)
This record from the Alexandria database describes a geometry-optimized AgAs2Pt2 structure. The functional is PBE-GGA.

Unit cell a=7.4184 b=7.4184 c=3.2183 alpha=90.00 beta=90.00 gamma=90.00
Element x y z (fractional)
1 Ag 0.0000 0.0000 0.0000
2 Ag 0.5000 0.5000 0.0000
3 As 0.1582 0.3418 0.5000
4 As 0.3418 0.8418 0.5000
5 As 0.6582 0.1582 0.5000
6 As 0.8418 0.6582 0.5000
7 Pt 0.1397 0.6397 0.0000
8 Pt 0.3603 0.1397 0.0000
9 Pt 0.6397 0.8603 0.0000
10 Pt 0.8603 0.3603 0.0000

Output
**Calculated total energy**: -4.89 eV per atom
**Energy above the lowest structure with this stoichiometry**: 0 meV/atom


(3)
This record from the Alexandria database describes a geometry-optimized Rb2AgAsPt structure. The functional is PBE-GGA.

Unit cell a=6.6940 b=6.6940 c=4.5755 alpha=90.00 beta=90.00 gamma=90.00
Element x y z (fractional)
1 Rb 0.0000 0.5000 0.0000
2 Rb 0.5000 0.0000 0.0000
3 Ag 0.0000 0.0000 0.5000
4 As 0.5000 0.5000 0.5000
5 Pt 0.5000 0.5000 0.0000

Output
**Calculated total energy**: -3.17 eV per atom


(4)
This record from the Alexandria database describes a geometry-optimized Ag2AsPtRh structure. The functional is PBE-GGA.

Unit cell a=5.0415 b=5.0415 c=4.4538 alpha=90.00 beta=90.00 gamma=90.00
Element x y z (fractional)
1 Ag 0.0000 0.5000 0.0000
2 Ag 0.5000 0.0000 0.0000
3 As 0.0000 0.0000 0.5000
4 Pt 0.5000 0.5000 0.5000
5 Rh 0.0000 0.0000 0.0000

Output
**Calculated total energy**: -3.88 eV per atom


(5)
This record from the Alexandria database describes a geometry-optimized SiAgAsPt2 structure. The functional is PBE-GGA.

Unit cell a=4.5601 b=4.5601 c=4.7418 alpha=90.00 beta=90.00 gamma=90.00
Element x y z (fractional)
1 Si 0.0000 0.0000 0.0000
2 Ag 0.5000 0.5000 0.5000
3 As 0.0000 0.0000 0.5000
4 Pt 0.0000 0.5000 0.0000
5 Pt 0.5000 0.0000 0.0000

Output
**Calculated total energy**: -4.67 eV per atom
**Energy above the lowest structure with this stoichiometry**: 0 meV/atom
**Formation energy without anion corrections**: 0.3293 eV per atom


(6)
This record from the Alexandria database describes a geometry-optimized SiAgAsPt2 structure. The functional is PBE-GGA.

Unit cell a=4.5546 b=4.5546 c=4.7273 alpha=90.00 beta=90.00 gamma=90.00
Element x y z (fractional)
1 Si 0.0000 0.0000 0.0000
2 Ag 0.0000 0.0000 0.5000
3 As 0.5000 0.5000 0.5000
4 Pt 0.0000 0.5000 0.0000
5 Pt 0.5000 0.0000 0.0000

Output
**Calculated total energy**: -4.64 eV per atom
**Energy above the lowest structure with this stoichiometry**: 35 meV/atom
**Formation energy without anion corrections**: 0.3648 eV per atom


> Look up the calculated total energy of the second one.

-4.89 eV per atom


> Which of these has the highest calculated total energy?

Rb2AgAsPt


> The highest calculated total energy belongs to which entry?

Rb2AgAsPt


> Among the records above, which one has the lowest calculated total energy?

AgAs2Pt2